Material: Cs2TcCl6
Method: DFT, PBE
State: optimized geometry

Calculated values
total magnetization	3.00	Bohr magnetons per cell
formation energy without anion corrections	-1.39	eV/atom

Cell and atoms, written as POSCAR:
```
Cs2TcCl6
1.0
7.493 0.000 0.000
3.747 6.489 0.000
3.747 2.163 6.118
Tc Cl Cs
1 6 2
direct
0.000 0.000 0.000 Tc
0.225 0.775 0.775 Cl
0.225 0.225 0.775 Cl
0.775 0.225 0.775 Cl
0.225 0.775 0.225 Cl
0.775 0.225 0.225 Cl
0.775 0.775 0.225 Cl
0.250 0.250 0.250 Cs
0.750 0.750 0.750 Cs
```



Material: CsTc3Cl
Method: DFT, PBE
State: optimized geometry

Calculated values
total magnetization	3.15	Bohr magnetons per cell
formation energy without anion corrections	1.82	eV/atom
energy above the most stable polymorph in this dataset	0	meV per atom
N(E_F)	0.94	states/eV per atom

Cell and atoms, written as POSCAR:
```
CsTc3Cl
1.0
4.645 0.000 0.000
0.000 4.645 0.000
0.000 0.000 4.645
Tc Cl Cs
3 1 1
direct
0.000 0.500 0.000 Tc
0.000 0.000 0.500 Tc
0.500 0.000 0.000 Tc
0.000 0.000 0.000 Cl
0.500 0.500 0.500 Cs
```



Material: Cs6TcCl12
Method: DFT, PBE
State: optimized geometry

Calculated values
total magnetization	0.54	Bohr magnetons per cell
formation energy without anion corrections	-1.38	eV/atom
N(E_F)	1.13	states/eV per atom

Cell and atoms, written as POSCAR:
```
Cs6TcCl12
1.0
9.304 2.304 -1.298
-1.756 9.423 -1.298
1.483 2.304 9.277
Cs Cl Tc
6 12 1
direct
0.239 0.534 0.997 Cs
0.003 0.761 0.466 Cs
0.466 0.003 0.761 Cs
0.997 0.239 0.534 Cs
0.761 0.466 0.003 Cs
0.534 0.997 0.239 Cs
0.869 0.816 0.090 Cl
0.986 0.488 0.260 Cl
0.816 0.090 0.869 Cl
0.488 0.260 0.986 Cl
0.740 0.014 0.512 Cl
0.512 0.740 0.014 Cl
0.014 0.512 0.740 Cl
0.260 0.986 0.488 Cl
0.184 0.910 0.131 Cl
0.910 0.131 0.184 Cl
0.090 0.869 0.816 Cl
0.131 0.184 0.910 Cl
0.000 0.000 0.000 Tc
```



Material: Cs2TcCl5
Method: DFT, PBE
State: optimized geometry

Calculated values
total magnetization	3.02	Bohr magnetons per cell
formation energy without anion corrections	-1.34	eV/atom
energy above the most stable polymorph in this dataset	0	meV per atom
N(E_F)	0.39	states/eV per atom

Cell and atoms, written as POSCAR:
```
Cs2TcCl5
1.0
-2.956 -2.771 3.038
4.821 1.049 5.655
-3.748 6.185 2.003
Cl Cs Tc
5 2 1
direct
0.563 0.035 0.035 Cl
0.063 0.807 0.262 Cl
0.063 0.807 0.807 Cl
0.062 0.263 0.263 Cl
0.063 0.262 0.807 Cl
0.562 0.535 0.035 Cs
0.562 0.035 0.535 Cs
0.062 0.035 0.035 Tc
```



Material: Cs2TcCl
Method: DFT, PBE
State: optimized geometry

Calculated values
total magnetization	4.00	Bohr magnetons per cell
formation energy without anion corrections	0.49	eV/atom
N(E_F)	3.74	states/eV per atom

Cell and atoms, written as POSCAR:
```
Cs2TcCl
1.0
0.000 4.278 4.278
4.278 0.000 4.278
4.278 4.278 0.000
Cs Tc Cl
2 1 1
direct
0.750 0.750 0.750 Cs
0.250 0.250 0.250 Cs
0.500 0.500 0.500 Tc
0.000 0.000 0.000 Cl
```



Material: CsTcCl2
Method: DFT, PBE
State: optimized geometry

Calculated values
total magnetization	4.00	Bohr magnetons per cell
formation energy without anion corrections	-0.32	eV/atom
energy above the most stable polymorph in this dataset	0	meV per atom
N(E_F)	0.40	states/eV per atom

Cell and atoms, written as POSCAR:
```
CsTcCl2
1.0
0.115 -7.903 5.282
3.780 -8.177 3.038
3.620 -5.787 6.616
Cs Cl Tc
1 2 1
direct
0.500 0.500 0.500 Cs
0.914 0.914 0.914 Cl
0.086 0.086 0.086 Cl
0.000 0.000 0.000 Tc
```



Material: CsTcCl2
Method: DFT, PBE
State: optimized geometry

Calculated values
total magnetization	0.00	Bohr magnetons per cell
formation energy without anion corrections	-0.08	eV/atom
energy above the most stable polymorph in this dataset	234	meV per atom
N(E_F)	0.05	states/eV per atom

Cell and atoms, written as POSCAR:
```
CsTcCl2
1.0
2.296 0.000 8.308
-1.148 1.988 8.308
-1.148 -1.988 8.308
Cl Tc Cs
2 1 1
direct
0.874 0.874 0.874 Cl
0.126 0.126 0.126 Cl
0.500 0.500 0.500 Tc
0.000 0.000 0.000 Cs
```



Material: Cs2TlTcCl6
Method: DFT, PBE
State: optimized geometry

Calculated values
total magnetization	2.00	Bohr magnetons per cell
formation energy without anion corrections	-1.26	eV/atom
N(E_F)	2.04	states/eV per atom

Cell and atoms, written as POSCAR:
```
Cs2TlTcCl6
1.0
-3.997 -4.526 4.862
6.536 -3.693 1.936
2.108 -0.506 7.443
Cl Cs Tc Tl
6 2 1 1
direct
0.721 0.721 0.559 Cl
0.279 0.279 0.000 Cl
0.721 0.279 0.000 Cl
0.279 0.279 0.441 Cl
0.721 0.721 0.000 Cl
0.279 0.721 0.000 Cl
0.750 0.250 0.500 Cs
0.250 0.750 0.500 Cs
0.500 0.500 0.000 Tc
0.000 0.000 0.000 Tl
```